Density functional theory data (PBE-GGA) for a relaxed structure of TaIrRu.

a b c (Å): 4.8889 4.8889 4.8889
angles (deg): 146.57 133.30 58.64
Fractional coordinates of all 3 atoms:
Ir1 0.9959 0.9959 0.0000
Ru1 0.3369 0.3369 0.0000
Ta1 0.6672 0.6672 0.0000

Computed properties:
- crystal system = orthorhombic
- space-group type = Imm2
- ΔE to the lowest computed polymorph (meV per atom) = 157

---

Density functional theory data (PBE-GGA) for a relaxed structure of Ta3IrRu2.

a b c (Å): 3.0071 3.0071 10.7084
angles (deg): 90.00 90.00 90.00
Fractional coordinates of all 6 atoms:
Ta1 0.0000 0.0000 0.0000
Ta2 0.0000 0.0000 0.6747
Ta3 0.0000 0.0000 0.3253
Ir1 0.5000 0.5000 0.5000
Ru1 0.5000 0.5000 0.8479
Ru2 0.5000 0.5000 0.1521

Computed properties:
- crystal system = tetragonal
- space-group type = P4/mmm
- ΔE to the lowest computed polymorph (meV per atom) = 0

---

Density functional theory data (PBE-GGA) for a relaxed structure of Ta3IrRu3.

a b c (Å): 7.7343 7.7343 7.7343
angles (deg): 90.00 90.00 90.00
Fractional coordinates of all 28 atoms:
Ta1 0.8051 0.6266 0.9547
Ta2 0.8734 0.0453 0.3051
Ta3 0.9547 0.8051 0.6266
Ta4 0.1266 0.5453 0.1949
Ta5 0.1949 0.1266 0.5453
Ta6 0.3051 0.8734 0.0453
Ta7 0.0453 0.3051 0.8734
Ta8 0.3734 0.4547 0.6949
Ta9 0.5453 0.1949 0.1266
Ta10 0.6266 0.9547 0.8051
Ta11 0.6949 0.3734 0.4547
Ta12 0.4547 0.6949 0.3734
Ir1 0.1329 0.6329 0.8671
Ir2 0.8671 0.1329 0.6329
Ir3 0.3671 0.3671 0.3671
Ir4 0.6329 0.8671 0.1329
Ru1 0.8466 0.3466 0.1534
Ru2 0.9618 0.9618 0.9618
Ru3 0.8298 0.6702 0.3298
Ru4 0.1534 0.8466 0.3466
Ru5 0.1702 0.1702 0.1702
Ru6 0.3298 0.8298 0.6702
Ru7 0.0382 0.4618 0.5382
Ru8 0.3466 0.1534 0.8466
Ru9 0.6702 0.3298 0.8298
Ru10 0.6534 0.6534 0.6534
Ru11 0.5382 0.0382 0.4618
Ru12 0.4618 0.5382 0.0382

Computed properties:
- total energy (eV/atom) = -10.514
- crystal system = cubic
- space-group type = P2_13

---

Density functional theory data (PBE-GGA) for a relaxed structure of TaIr2Ru.

a b c (Å): 3.9035 3.9035 3.9385
angles (deg): 90.00 90.00 90.00
Fractional coordinates of all 4 atoms:
Ru1 0.5000 0.0000 0.5000
Ir1 0.0000 0.0000 0.0000
Ir2 0.5000 0.5000 0.0000
Ta1 0.0000 0.5000 0.5000

Computed properties:
- crystal system = tetragonal
- space-group type = P4/mmm
- ΔE to the lowest computed polymorph (meV per atom) = 0